# NaLiY2Br8 PBE relaxed
# Uncorrected formation energy (eV per formula unit): -20.88
# Magnetic moment (μB per formula unit): 0.000
# E (eV for the cell shown): -50.42
data_NaLiY2Br8
_chemical_formula_sum 'Na1 Li1 Y2 Br8'
_space_group_name_H-M_alt 'P 1'
_space_group_IT_number 1
_cell_length_a 6.905
_cell_length_b 8.431
_cell_length_c 6.960
_cell_angle_alpha 90.00
_cell_angle_beta 96.43
_cell_angle_gamma 90.00
loop_
_space_group_symop_operation_xyz
'x,y,z'
loop_
_atom_site_label
_atom_site_type_symbol
_atom_site_fract_x
_atom_site_fract_y
_atom_site_fract_z
_atom_site_occupancy
Na1 Na 0.000 0.000 0.000 1
Li1 Li 0.000 0.500 0.000 1
Y1 Y 0.500 0.254 0.500 1
Y2 Y 0.500 0.746 0.500 1
Br1 Br 0.207 0.265 0.193 1
Br2 Br 0.207 0.735 0.193 1
Br3 Br 0.305 0.500 0.680 1
Br4 Br 0.310 0.000 0.676 1
Br5 Br 0.690 0.000 0.324 1
Br6 Br 0.695 0.500 0.320 1
Br7 Br 0.793 0.265 0.807 1
Br8 Br 0.793 0.735 0.807 1

# SrYCo2 PBE relaxed
# Magnetic moment (μB per formula unit): 1.050
# E (eV for the cell shown): -39.32
# ΔE to the lowest computed polymorph (eV per atom): 0.702
data_SrYCo2
_chemical_formula_sum 'Sr2 Y2 Co4'
_space_group_name_H-M_alt 'P 1'
_space_group_IT_number 1
_cell_length_a 6.157
_cell_length_b 6.157
_cell_length_c 6.157
_cell_angle_alpha 105.27
_cell_angle_beta 105.27
_cell_angle_gamma 118.24
loop_
_space_group_symop_operation_xyz
'x,y,z'
loop_
_atom_site_label
_atom_site_type_symbol
_atom_site_fract_x
_atom_site_fract_y
_atom_site_fract_z
_atom_site_occupancy
Sr1 Sr 0.000 0.000 0.000 1
Sr2 Sr 0.750 0.250 0.500 1
Y1 Y 0.250 0.750 0.500 1
Y2 Y 0.500 0.500 0.000 1
Co1 Co 0.145 0.625 0.020 1
Co2 Co 0.375 0.395 0.520 1
Co3 Co 0.605 0.125 0.980 1
Co4 Co 0.875 0.855 0.480 1

# SiNi2B2 PBE relaxed
# Uncorrected formation energy (eV per formula unit): -0.33
# Magnetic moment (μB per formula unit): 0.000
# E (eV for the cell shown): -30.67
# ΔE to the lowest computed polymorph (eV per atom): 0.000
data_SiNi2B2
_chemical_formula_sum 'Si1 Ni2 B2'
_space_group_name_H-M_alt 'P 1'
_space_group_IT_number 1
_cell_length_a 6.538
_cell_length_b 6.538
_cell_length_c 6.538
_cell_angle_alpha 155.79
_cell_angle_beta 155.79
_cell_angle_gamma 34.50
loop_
_space_group_symop_operation_xyz
'x,y,z'
loop_
_atom_site_label
_atom_site_type_symbol
_atom_site_fract_x
_atom_site_fract_y
_atom_site_fract_z
_atom_site_occupancy
Si1 Si 0.000 0.000 0.000 1
Ni1 Ni 0.373 0.373 0.000 1
Ni2 Ni 0.627 0.627 0.000 1
B1 B 0.250 0.750 0.500 1
B2 B 0.750 0.250 0.500 1

# TmMn2Fe PBE relaxed
# Magnetic moment (μB per formula unit): 6.676
# E (eV for the cell shown): -29.12
data_TmMn2Fe
_chemical_formula_sum 'Tm1 Mn2 Fe1'
_space_group_name_H-M_alt 'P 1'
_space_group_IT_number 1
_cell_length_a 3.976
_cell_length_b 3.976
_cell_length_c 4.280
_cell_angle_alpha 90.00
_cell_angle_beta 90.00
_cell_angle_gamma 100.95
loop_
_space_group_symop_operation_xyz
'x,y,z'
loop_
_atom_site_label
_atom_site_type_symbol
_atom_site_fract_x
_atom_site_fract_y
_atom_site_fract_z
_atom_site_occupancy
Tm1 Tm 0.000 0.000 0.000 1
Mn1 Mn 0.311 0.689 0.500 1
Mn2 Mn 0.689 0.311 0.500 1
Fe1 Fe 0.500 0.500 0.000 1

- What is the formula in the fourth record?
  TmMn2Fe